NbSiNiPd: relaxed, PBE.

Unit cell a=6.1146 b=6.1146 c=6.1146 alpha=90.00 beta=90.00 gamma=90.00
Closest atoms and distances in Å follow each position.
Positions (direct):
Nb: 0.0000 0.0000 0.0000  4 Pd 2.65, 4 Si 2.65
Nb: 0.0000 0.5000 0.5000  4 Pd 2.65, 4 Si 2.65
Nb: 0.5000 0.0000 0.5000  4 Pd 2.65, 4 Si 2.65
Nb: 0.5000 0.5000 0.0000  4 Pd 2.65, 4 Si 2.65
Si: 0.2500 0.2500 0.2500  4 Nb 2.65, 4 Ni 2.65
Si: 0.2500 0.7500 0.7500  4 Nb 2.65, 4 Ni 2.65
Si: 0.7500 0.2500 0.7500  4 Nb 2.65, 4 Ni 2.65
Si: 0.7500 0.7500 0.2500  4 Nb 2.65, 4 Ni 2.65
Ni: 0.0000 0.0000 0.5000  4 Pd 2.65, 4 Si 2.65
Ni: 0.0000 0.5000 0.0000  4 Si 2.65, 4 Pd 2.65
Ni: 0.5000 0.0000 0.0000  4 Si 2.65, 4 Pd 2.65
Ni: 0.5000 0.5000 0.5000  4 Pd 2.65, 4 Si 2.65
Pd: 0.2500 0.2500 0.7500  4 Nb 2.65, 4 Ni 2.65
Pd: 0.2500 0.7500 0.2500  4 Nb 2.65, 4 Ni 2.65
Pd: 0.7500 0.2500 0.2500  4 Nb 2.65, 4 Ni 2.65
Pd: 0.7500 0.7500 0.7500  4 Nb 2.65, 4 Ni 2.65

Computed properties:
Total DFT energy (no corrections) = -109.64 eV/cell

***

LaCo: relaxed, PBE.

Unit cell a=3.8954 b=3.8954 c=10.0676 alpha=90.00 beta=90.00 gamma=120.00
Closest atoms and distances in Å follow each position.
Positions (direct):
La: 0.0000 0.0000 0.0000  6 Co 2.81
La: 0.3333 0.6667 0.6667  6 Co 2.81
La: 0.6667 0.3333 0.3333  6 Co 2.81
Co: 0.0000 0.0000 0.5000  6 La 2.81
Co: 0.3333 0.6667 0.1667  6 La 2.81
Co: 0.6667 0.3333 0.8333  6 La 2.81

Computed properties:
E_form = 0.178 eV/atom

***

TbY3Sn2C2: relaxed, PBE.

Unit cell a=3.6344 b=3.6344 c=15.8929 alpha=90.00 beta=90.00 gamma=120.00
Closest atoms and distances in Å follow each position.
Positions (direct):
Tb: 0.0000 0.0000 0.0000  3 C 2.49
Y: 0.0000 0.0000 0.3309  3 C 2.49
Y: 0.3333 0.6667 0.5001  3 C 2.49
Y: 0.3333 0.6667 0.8302  3 C 2.50
Sn: 0.0000 0.0000 0.6654  6 Y 3.36, 6 Sn 3.63
Sn: 0.3333 0.6667 0.1661  3 Y 3.36, 3 Tb 3.37, 6 Sn 3.63
C: 0.6667 0.3333 0.4157  6 Y 2.49
C: 0.6667 0.3333 0.9155  3 Tb 2.49, 3 Y 2.50

Computed properties:
Total DFT energy (no corrections) = -54.82 eV/cell

***

Y2Er3ScCuTe2: relaxed, PBE.

Unit cell a=3.8949 b=8.2944 c=8.2944 alpha=120.20 beta=90.00 gamma=90.00
Closest atoms and distances in Å follow each position.
Positions (direct):
Y: 0.0000 0.2017 0.7983  4 Te 3.20-3.21, 1 Cu 3.35, 6 Er 3.51-3.53
Y: 0.0000 0.7983 0.2017  4 Te 3.20-3.21, 1 Cu 3.35, 6 Er 3.51-3.53
Er: 0.5000 0.0452 0.0452  2 Cu 2.83, 2 Te 3.16
Er: 0.5000 0.5534 0.7930  2 Cu 2.79
Er: 0.5000 0.7930 0.5534  2 Cu 2.79
Sc: 0.0000 0.3965 0.3965  4 Te 3.16, 1 Cu 3.31, 6 Er 3.46-3.50
Cu: 0.0000 0.7967 0.7967  6 Er 2.79-2.83
Te: 0.5000 0.1361 0.4637  3 Er 3.15-3.28, 2 Sc 3.16, 4 Y 3.20-3.21
Te: 0.5000 0.4637 0.1361  3 Er 3.15-3.28, 2 Sc 3.16, 4 Y 3.20-3.21

Computed properties:
Total DFT energy (no corrections) = -48.58 eV/cell

***

ScFeAsPd: relaxed, PBE.

Unit cell a=6.3528 b=6.3528 c=6.3528 alpha=90.00 beta=90.00 gamma=90.00
Closest atoms and distances in Å follow each position.
Positions (direct):
Sc: 0.0000 0.0000 0.0000  4 Pd 2.75, 4 As 2.75
Sc: 0.0000 0.5000 0.5000  4 Pd 2.75, 4 As 2.75
Sc: 0.5000 0.0000 0.5000  4 Pd 2.75, 4 As 2.75
Sc: 0.5000 0.5000 0.0000  4 Pd 2.75, 4 As 2.75
Fe: 0.0000 0.0000 0.5000  4 As 2.75, 4 Pd 2.75
Fe: 0.0000 0.5000 0.0000  4 As 2.75, 4 Pd 2.75
Fe: 0.5000 0.0000 0.0000  4 As 2.75, 4 Pd 2.75
Fe: 0.5000 0.5000 0.5000  4 As 2.75, 4 Pd 2.75
As: 0.2500 0.2500 0.2500  4 Sc 2.75, 4 Fe 2.75
As: 0.2500 0.7500 0.7500  4 Sc 2.75, 4 Fe 2.75
As: 0.7500 0.2500 0.7500  4 Sc 2.75, 4 Fe 2.75
As: 0.7500 0.7500 0.2500  4 Sc 2.75, 4 Fe 2.75
Pd: 0.2500 0.2500 0.7500  4 Fe 2.75, 4 Sc 2.75
Pd: 0.2500 0.7500 0.2500  4 Fe 2.75, 4 Sc 2.75
Pd: 0.7500 0.2500 0.2500  4 Fe 2.75, 4 Sc 2.75
Pd: 0.7500 0.7500 0.7500  4 Fe 2.75, 4 Sc 2.75

Computed properties:
Total DFT energy (no corrections) = -104.78 eV/cell

***

SnPbW4C2: relaxed, PBE.

Unit cell a=3.2167 b=3.2167 c=13.7123 alpha=90.00 beta=90.00 gamma=120.00
Closest atoms and distances in Å follow each position.
Positions (direct):
Sn: 0.0000 0.0000 0.0000  6 W 2.93, 6 Sn 3.22
Pb: 0.3333 0.6667 0.5000  6 W 3.05, 6 Pb 3.22
W: 0.0000 0.0000 0.3237  3 C 2.14
W: 0.0000 0.0000 0.6763  3 C 2.14
W: 0.3333 0.6667 0.1650  3 C 2.16
W: 0.3333 0.6667 0.8350  3 C 2.16
C: 0.6667 0.3333 0.2460  6 W 2.14-2.16
C: 0.6667 0.3333 0.7540  6 W 2.14-2.16

Computed properties:
Total DFT energy (no corrections) = -74.81 eV/cell

***

ErPdAu: relaxed, PBE.

Unit cell a=6.4851 b=6.4851 c=6.4851 alpha=90.00 beta=90.00 gamma=90.00
Closest atoms and distances in Å follow each position.
Positions (direct):
Er: 0.0000 0.0000 0.0000  4 Pd 2.81
Er: 0.0000 0.5000 0.5000  4 Pd 2.81
Er: 0.5000 0.0000 0.5000  4 Pd 2.81
Er: 0.5000 0.5000 0.0000  4 Pd 2.81
Pd: 0.2500 0.2500 0.7500  4 Er 2.81, 4 Au 2.81
Pd: 0.2500 0.7500 0.2500  4 Er 2.81, 4 Au 2.81
Pd: 0.7500 0.2500 0.2500  4 Er 2.81, 4 Au 2.81
Pd: 0.7500 0.7500 0.7500  4 Er 2.81, 4 Au 2.81
Au: 0.0000 0.0000 0.5000  4 Pd 2.81
Au: 0.0000 0.5000 0.0000  4 Pd 2.81
Au: 0.5000 0.0000 0.0000  4 Pd 2.81
Au: 0.5000 0.5000 0.5000  4 Pd 2.81

Computed properties:
E_form = -0.723 eV/atom

***

Cs2AgGeCl6: relaxed, PBE.

Unit cell a=7.3976 b=7.3976 c=7.3976 alpha=59.68 beta=59.68 gamma=59.68
Closest atoms and distances in Å follow each position.
Positions (direct):
Cs: 0.2488 0.2488 0.2488  12 Cl 3.68-3.71
Cs: 0.7512 0.7512 0.7512  12 Cl 3.68-3.71
Ag: 0.5000 0.5000 0.5000  6 Cl 2.70
Ge: 0.0000 0.0000 0.0000  6 Cl 2.52
Cl: 0.2414 0.2414 0.7575  1 Ge 2.52, 1 Ag 2.70
Cl: 0.2414 0.7575 0.2414  1 Ge 2.52, 1 Ag 2.70
Cl: 0.2425 0.7586 0.7586  1 Ge 2.52, 1 Ag 2.70
Cl: 0.7575 0.2414 0.2414  1 Ge 2.52, 1 Ag 2.70
Cl: 0.7586 0.2425 0.7586  1 Ge 2.52, 1 Ag 2.70
Cl: 0.7586 0.7586 0.2425  1 Ge 2.52, 1 Ag 2.70

Computed properties:
Total DFT energy (no corrections) = -32.71 eV/cell

***

Li3Hf2O6: relaxed, PBE.

Unit cell a=5.3950 b=5.3950 c=9.8107 alpha=95.29 beta=95.29 gamma=120.01
Closest atoms and distances in Å follow each position.
Positions (direct):
Li: 0.0688 0.3712 0.7515  4 O 2.08-2.13
Li: 0.2178 0.2178 0.2521  5 O 2.09-2.32
Li: 0.4266 0.0756 0.7516  2 O 1.99-2.00
Li: 0.6288 0.9312 0.2485  4 O 2.08-2.13
Li: 0.7822 0.7822 0.7479  5 O 2.09-2.32
Li: 0.9244 0.5734 0.2484  2 O 1.99-2.00
Hf: 0.1671 0.8329 0.0000  6 O 2.06-2.08
Hf: 0.3451 0.6549 0.5000  6 O 2.06-2.09
Hf: 0.5021 0.4979 0.0000  6 O 2.06-2.09
Hf: 0.6804 0.3196 0.5000  6 O 2.06-2.08
O: 0.0540 0.6506 0.6225  2 Hf 2.06, 2 Li 2.08-2.30
O: 0.1702 0.1222 0.8729  3 Li 2.00-2.13, 2 Hf 2.08-2.09
O: 0.2563 0.5869 0.1229  2 Hf 2.07, 2 Li 2.10-2.24
O: 0.3494 0.9460 0.3775  2 Hf 2.06, 2 Li 2.08-2.30
O: 0.4131 0.7437 0.8771  2 Hf 2.07, 2 Li 2.10-2.24
O: 0.4347 0.4089 0.6224  2 Hf 2.06-2.07, 2 Li 2.10-2.28
O: 0.4982 0.2063 0.1223  2 Hf 2.06, 2 Li 2.09-2.28
O: 0.5911 0.5653 0.3776  2 Hf 2.06-2.07, 2 Li 2.10-2.28
O: 0.6782 0.0298 0.6272  3 Li 1.99-2.13, 2 Hf 2.08-2.09
O: 0.7937 0.5018 0.8777  2 Hf 2.06, 2 Li 2.09-2.28
O: 0.8778 0.8298 0.1271  3 Li 2.00-2.13, 2 Hf 2.08-2.09
O: 0.9702 0.3218 0.3728  3 Li 1.99-2.13, 2 Hf 2.08-2.09

Computed properties:
Total DFT energy (no corrections) = -168.75 eV/cell

***

NbIn2: relaxed, PBE.

Unit cell a=8.9345 b=8.9345 c=8.9345 alpha=60.00 beta=60.00 gamma=60.00
Closest atoms and distances in Å follow each position.
Positions (direct):
Nb: 0.1250 0.1250 0.1250  4 In 2.74
Nb: 0.8750 0.8750 0.8750  4 In 2.74
In: 0.0000 0.0000 0.0000  2 Nb 2.74
In: 0.0000 0.0000 0.5000  2 Nb 2.74
In: 0.0000 0.5000 0.0000  2 Nb 2.74
In: 0.5000 0.0000 0.0000  2 Nb 2.74

Computed properties:
Total DFT energy (no corrections) = -20.59 eV/cell

***

NdLu2Bi3: relaxed, PBE.

Unit cell a=4.4632 b=4.4632 c=10.9556 alpha=90.00 beta=90.00 gamma=120.00
Closest atoms and distances in Å follow each position.
Positions (direct):
Nd: 0.0000 0.0000 0.0000  6 Bi 3.23
Lu: 0.3333 0.6667 0.3378  6 Bi 3.12-3.13
Lu: 0.6667 0.3333 0.6622  6 Bi 3.12-3.13
Bi: 0.0000 0.0000 0.5000  6 Lu 3.13
Bi: 0.3333 0.6667 0.8226  3 Lu 3.12, 3 Nd 3.23
Bi: 0.6667 0.3333 0.1774  3 Lu 3.12, 3 Nd 3.23

Computed properties:
Total DFT energy (no corrections) = -30.84 eV/cell

***

Nb2MoPd: relaxed, PBE.

Unit cell a=6.4552 b=6.4552 c=6.4552 alpha=90.00 beta=90.00 gamma=90.00
Closest atoms and distances in Å follow each position.
Positions (direct):
Nb: 0.0000 0.0000 0.0000  4 Nb 2.80, 4 Mo 2.80
Nb: 0.0000 0.5000 0.5000  4 Nb 2.80, 4 Mo 2.80
Nb: 0.2500 0.2500 0.2500  4 Nb 2.80, 4 Pd 2.80
Nb: 0.2500 0.7500 0.7500  4 Nb 2.80, 4 Pd 2.80
Nb: 0.5000 0.0000 0.5000  4 Nb 2.80, 4 Mo 2.80
Nb: 0.5000 0.5000 0.0000  4 Nb 2.80, 4 Mo 2.80
Nb: 0.7500 0.2500 0.7500  4 Nb 2.80, 4 Pd 2.80
Nb: 0.7500 0.7500 0.2500  4 Nb 2.80, 4 Pd 2.80
Mo: 0.2500 0.2500 0.7500  4 Nb 2.80, 4 Pd 2.80
Mo: 0.2500 0.7500 0.2500  4 Nb 2.80, 4 Pd 2.80
Mo: 0.7500 0.2500 0.2500  4 Nb 2.80, 4 Pd 2.80
Mo: 0.7500 0.7500 0.7500  4 Nb 2.80, 4 Pd 2.80
Pd: 0.0000 0.0000 0.5000  4 Nb 2.80, 4 Mo 2.80
Pd: 0.0000 0.5000 0.0000  4 Nb 2.80, 4 Mo 2.80
Pd: 0.5000 0.0000 0.0000  4 Nb 2.80, 4 Mo 2.80
Pd: 0.5000 0.5000 0.5000  4 Mo 2.80, 4 Nb 2.80

Computed properties:
E_form = 0.084 eV/atom

***

| no. | density (g/cm3) |
| --- | --- |
| 1 | 8.3 |
| 2 | 7.4 |
| 3 | 6.3 |
| 4 | 7.5 |
| 5 | 7.3 |
| 6 | 14.7 |
| 7 | 11.5 |
| 8 | 3.9 |
| 9 | 6.5 |
| 10 | 2.1 |
| 11 | 9.9 |
| 12 | 9.6 |